Mg4Si7 PBE optimized geometry; raw total energy = -3.91 eV per atom; ΔE_f (raw) = 0.120 eV/atom; crystal system = triclinic
1.0
3.816 0.000 0.000
-1.275 7.496 0.000
-1.132 -3.165 15.246
Mg Si
8 14
direct
0.000 0.000 0.000
0.019 0.960 0.312
0.184 0.332 0.211
0.277 0.309 0.733
0.423 0.809 0.829
0.498 0.965 0.154
0.717 0.979 0.659
0.826 0.610 0.117
0.001 0.092 0.840
0.051 0.481 0.567
0.094 0.164 0.551
0.314 0.704 0.996
0.403 0.705 0.248
0.458 0.728 0.401
0.544 0.064 0.460
0.579 0.241 0.922
0.616 0.625 0.640
0.622 0.250 0.078
0.654 0.243 0.338
0.736 0.556 0.916
0.866 0.550 0.769
0.912 0.545 0.426